Entry 1:
A relaxed PuBeSi crystal. Source: OQMD, functional GGA-PBE.

Symmetry: F-43m
Calculated total energy, eV/cell: -23.01
Magnetic moment, μB per formula unit: 5.8

Cell lengths 4.242, 4.242, 4.242 Å; angles 60.00, 60.00, 60.00 degrees
Element x y z (fractional)
1 Pu 0.000 0.000 0.000
2 Be 0.500 0.500 0.500
3 Si 0.750 0.750 0.750


Entry 2:
A relaxed YPuNb crystal. Source: OQMD, functional GGA-PBE.

Symmetry: F-43m
Formation enthalpy at 0 K, kcal/mol of atoms: 17.905
E above lowest polymorph, meV per atom: 0
Magnetic moment, μB per formula unit: 4.0

Cell lengths 4.898, 4.898, 4.898 Å; angles 60.00, 60.00, 60.00 degrees
Element x y z (fractional)
1 Y 0.000 0.000 0.000
2 Pu 0.500 0.500 0.500
3 Nb 0.750 0.750 0.750


Entry 3:
A relaxed Er3FeCo2Ni6 crystal. Source: OQMD, functional GGA-PBE.

Symmetry: R-3m
Formation enthalpy at 0 K, kcal/mol of atoms: -6.223
Magnetic moment, μB per formula unit: 2.9

Cell lengths 8.510, 8.510, 8.510 Å; angles 33.95, 33.95, 33.95 degrees
Element x y z (fractional)
1 Er 0.000 0.000 0.000
2 Er 0.139 0.139 0.139
3 Er 0.861 0.861 0.861
4 Fe 0.500 0.500 0.500
5 Co 0.334 0.334 0.334
6 Co 0.666 0.666 0.666
7 Ni 0.082 0.583 0.583
8 Ni 0.417 0.417 0.918
9 Ni 0.417 0.918 0.417
10 Ni 0.583 0.082 0.583
11 Ni 0.583 0.583 0.082
12 Ni 0.918 0.417 0.417


Entry 4:
A relaxed NaMgAu crystal. Source: OQMD, functional GGA-PBE.

Symmetry: P3m1
Calculated total energy, eV/cell: -14.22

Cell lengths 4.757, 4.757, 6.169 Å; angles 90.00, 90.00, 120.00 degrees
Element x y z (fractional)
1 Na 0.000 0.000 0.000
2 Na 0.333 0.667 0.172
3 Mg 0.000 0.000 0.499
4 Mg 0.667 0.333 0.767
5 Au 0.333 0.667 0.677
6 Au 0.667 0.333 0.311